Entry 1:
{
  "formula": "GaCuPb2S4",
  "functional": "PBE",
  "state": "relaxed",
  "sg": "C2 (5)",
  "density_g_cm3": 5.80,
  "volume_a3_per_cell": 193.5,
  "lattice_angstrom": [[6.1432, -0.6731, -0.0039], [-0.6639, 6.3962, -0.0016], [-2.7350, -2.8617, 4.9850]],
  "species": ["Ga", "Cu", "Pb", "Pb", "S", "S", "S", "S"],
  "fractional_positions": [[0.9918, 0.4918, 0.9837], [0.7427, 0.7427, 0.4854], [0.4416, 0.9416, 0.8836], [0.1997, 0.1997, 0.3989], [0.6919, 0.6045, 0.7569], [0.8528, 0.4330, 0.2544], [0.4015, 0.8213, 0.2549], [0.0649, 0.1524, 0.7562]]
}


Entry 2:
{
  "formula": "GaCuPb2Se",
  "functional": "PBE",
  "state": "relaxed",
  "sg": "P4/mmm (123)",
  "dos_ef_per_ev_cell": 2.81,
  "density_g_cm3": 6.43,
  "volume_a3_per_cell": 161.8,
  "lattice_angstrom": [[5.7678, 0.0000, 0.0000], [0.0000, 4.8637, 0.0000], [0.0000, 0.0000, 5.7678]],
  "species": ["Pb", "Pb", "Cu", "Ga", "Se"],
  "fractional_positions": [[0.0000, 0.0000, 0.5000], [0.5000, 0.0000, 0.0000], [0.5000, 0.5000, 0.5000], [0.0000, 0.5000, 0.0000], [0.0000, 0.0000, 0.0000]]
}


Entry 3:
{
  "formula": "GaCuPb2Se4",
  "functional": "PBE",
  "state": "relaxed",
  "sg": "C2 (5)",
  "density_g_cm3": 6.53,
  "volume_a3_per_cell": 219.7,
  "lattice_angstrom": [[-0.7279, -5.5237, -3.4458], [-1.4055, -2.0269, 6.2998], [-3.8317, 4.8804, -2.1658]],
  "species": ["Ga", "Cu", "Pb", "Pb", "Se", "Se", "Se", "Se"],
  "fractional_positions": [[0.9922, 0.4921, 0.9843], [0.7438, 0.7437, 0.4876], [0.4391, 0.9391, 0.8783], [0.1938, 0.1938, 0.3873], [0.6832, 0.6057, 0.7568], [0.8558, 0.4305, 0.2616], [0.4058, 0.8310, 0.2618], [0.0735, 0.1511, 0.7564]]
}


Entry 4:
{
  "formula": "GaCuSn2Pb",
  "functional": "PBE",
  "state": "relaxed",
  "sg": "P4/mmm (123)",
  "dos_ef_per_ev_cell": 2.90,
  "density_g_cm3": 7.41,
  "volume_a3_per_cell": 129.5,
  "lattice_angstrom": [[5.2583, 0.0000, 0.0000], [0.0000, 5.2583, 0.0000], [0.0000, 0.0000, 4.6821]],
  "species": ["Pb", "Cu", "Sn", "Sn", "Ga"],
  "fractional_positions": [[0.5000, 0.5000, 0.5000], [0.0000, 0.0000, 0.0000], [0.0000, 0.5000, 0.0000], [0.5000, 0.0000, 0.0000], [0.0000, 0.0000, 0.5000]]
}


Entry 5:
{
  "formula": "Ga2CuSnPb",
  "functional": "PBE",
  "state": "relaxed",
  "sg": "P4/mmm (123)",
  "dos_ef_per_ev_cell": 2.46,
  "density_g_cm3": 7.27,
  "volume_a3_per_cell": 120.7,
  "lattice_angstrom": [[4.7603, 0.0000, 0.0000], [0.0000, 4.7603, 0.0000], [0.0000, 0.0000, 5.3283]],
  "species": ["Pb", "Cu", "Sn", "Ga", "Ga"],
  "fractional_positions": [[0.5000, 0.5000, 0.5000], [0.0000, 0.0000, 0.0000], [0.0000, 0.0000, 0.5000], [0.0000, 0.5000, 0.0000], [0.5000, 0.0000, 0.0000]]
}


Entry 6:
{
  "formula": "TlGa2CuPb",
  "functional": "PBE",
  "state": "relaxed",
  "sg": "P4/mmm (123)",
  "dos_ef_per_ev_cell": 2.79,
  "density_g_cm3": 8.11,
  "volume_a3_per_cell": 125.9,
  "lattice_angstrom": [[4.8100, 0.0000, 0.0000], [0.0000, 4.8100, 0.0000], [0.0000, 0.0000, 5.4422]],
  "species": ["Pb", "Tl", "Cu", "Ga", "Ga"],
  "fractional_positions": [[0.0000, 0.0000, 0.5000], [0.5000, 0.5000, 0.5000], [0.0000, 0.0000, 0.0000], [0.0000, 0.5000, 0.0000], [0.5000, 0.0000, 0.0000]]
}


Entry 7:
{
  "formula": "Ga8CuPd2",
  "functional": "PBE",
  "state": "relaxed",
  "relative_energy_mev_per_atom": 0,
  "sg": "C2/m (12)",
  "dos_ef_per_ev_cell": 2.37,
  "density_g_cm3": 7.10,
  "volume_a3_per_cell": 195.1,
  "lattice_angstrom": [[4.1805, 0.0000, -1.2723], [-1.2822, 8.6795, -4.2132], [-0.3524, -1.6239, 6.3463]],
  "species": ["Pd", "Pd", "Cu", "Ga", "Ga", "Ga", "Ga", "Ga", "Ga", "Ga", "Ga"],
  "fractional_positions": [[0.2155, 0.7853, 0.4310], [0.7845, 0.2147, 0.5690], [0.5000, 0.0000, 0.0000], [0.6331, 0.8572, 0.2662], [0.3397, 0.6348, 0.6794], [0.1468, 0.1591, 0.2936], [0.0555, 0.4139, 0.1110], [0.8532, 0.8409, 0.7064], [0.6603, 0.3652, 0.3206], [0.3669, 0.1428, 0.7338], [0.9445, 0.5861, 0.8890]]
}


Entry 8:
{
  "formula": "Ga6Cu3Pd",
  "functional": "PBE",
  "state": "relaxed",
  "sg": "P2_1/c (14)",
  "dos_ef_per_ev_cell": 5.56,
  "density_g_cm3": 7.28,
  "volume_a3_per_cell": 326.2,
  "lattice_angstrom": [[6.7728, 0.0000, 0.6866], [0.0000, 6.3829, 0.0000], [0.8945, 0.0000, 7.6367]],
  "species": ["Ga", "Ga", "Ga", "Ga", "Ga", "Ga", "Ga", "Ga", "Ga", "Ga", "Ga", "Ga", "Cu", "Cu", "Cu", "Cu", "Cu", "Cu", "Pd", "Pd"],
  "fractional_positions": [[0.6618, 0.1203, 0.9420], [0.6615, 0.1791, 0.5978], [0.7584, 0.4401, 0.2015], [0.2416, 0.5599, 0.7985], [0.3385, 0.8209, 0.4022], [0.3382, 0.8797, 0.0580], [0.1618, 0.3797, 0.4420], [0.1615, 0.3209, 0.0978], [0.2584, 0.0599, 0.7015], [0.7416, 0.9401, 0.2985], [0.8385, 0.6791, 0.9022], [0.8382, 0.6203, 0.5580], [0.5434, 0.8112, 0.7480], [0.5000, 0.5000, 0.0000], [0.4566, 0.1888, 0.2520], [0.0434, 0.6888, 0.2480], [0.0000, 0.0000, 0.5000], [0.9566, 0.3112, 0.7520], [0.5000, 0.5000, 0.5000], [0.0000, 0.0000, 0.0000]]
}


Electronic total energy per entry: -34.76 -15.05 -31.89 -17.96 -17.16 -15.47 -41.35 -73.37 eV for the cell shown